A plane-wave DFT calculation with PBE-GGA was carried out for a relaxed TiBrF3 crystal.

Structure (extended XYZ):
```
5
Lattice="-0.601 -2.251 -3.358 -2.267 -2.623 2.164 -3.347 2.181 -0.862" Properties=species:S:1:pos:R:3 pbc="T T T"
Br -3.108 -1.347 -1.028
F -1.674 1.090 -0.431
F -0.301 -1.125 -1.679
Ti 0.000 0.000 0.000
F -1.133 -1.312 1.082
```

Properties
- V (Å³ per atom) = 13.65
- E_tot (eV per atom) = -5.208